Computed, not measured: an optimized crystal structure of Y5Fe2Te2 at the GGA-PBEsol level of DFT.

Cell: 3.9015 7.6388 15.0225 Å, 90.00 90.00 104.80°
Fractional coordinates of all 18 atoms:
1 Fe 0.3968 0.7935 0.7500
2 Fe 0.6032 0.2065 0.2500
3 Fe 0.8366 0.6733 0.7500
4 Fe 0.1634 0.3267 0.2500
5 Te 0.3838 0.7676 0.0403
6 Te 0.6162 0.2324 0.5403
7 Te 0.3838 0.7676 0.4597
8 Te 0.6162 0.2324 0.9597
9 Y 0.0397 0.0794 0.1169
10 Y 0.9603 0.9206 0.6169
11 Y 0.0397 0.0794 0.3831
12 Y 0.9603 0.9206 0.8831
13 Y 0.2564 0.5127 0.8739
14 Y 0.7436 0.4873 0.3739
15 Y 0.2564 0.5127 0.6261
16 Y 0.7436 0.4873 0.1261
17 Y 0.6003 0.2005 0.7500
18 Y 0.3997 0.7995 0.2500

Size of the total moment (μB/cell): 0.0
Formation energy from raw total energies (eV/atom): -0.6945
Symmetry: No. 63